# 1
Density functional theory data (PBE-GGA) for Pm2TiAs after structural relaxation.

Results
Calculated formation energy ... -344 meV per atom

Lattice parameters (Å, degrees): 4.9567 4.9567 3.9910 90.00 90.00 90.00
Positions (direct):
Pm  0.0000  0.5000  0.0000
Pm  0.5000  0.0000  0.0000
Ti  0.0000  0.0000  0.5000
As  0.5000  0.5000  0.5000

***

# 2
Density functional theory data (PBE-GGA) for PmTiAs2 after structural relaxation.

Results
Calculated formation energy ... -643 meV per atom
Energy relative to the lowest polymorph listed for this composition ... 0.24 eV/f.u.

Lattice parameters (Å, degrees): 4.8494 4.8494 3.5646 90.00 90.00 90.00
Positions (direct):
Pm  0.0000  0.0000  0.0000
Ti  0.5000  0.5000  0.0000
As  0.0000  0.5000  0.5000
As  0.5000  0.0000  0.5000

***

What did we get for density? Answer: 6.99; 6.79 g/cm³, in the order shown.